DFT (GGA-PBE) results for a relaxed ZrTa2NbCu crystal.

The structure belongs to space group P4/mmm (No. 123); the cell edges are 4.850, 4.850 and 5.106 Å and the angles 90.00°, 90.00° and 90.00°. The asymmetric unit holds Zr at (0.000, 0.000, 0.000), Ta at (0.000, 0.500, 0.500), Nb at (0.000, 0.000, 0.500) and Cu at (0.500, 0.500, 0.000).

For the spin magnetization, the calculation gives 0.00 μB/cell. The value obtained for the calculated formation energy is 1.588 eV per atom. For the calculated volume, the calculation gives 120.1 Å³ per cell.